Below is Hf2MgS after structural relaxation, with properties calculated at the PBE level.

Geometry as CIF:
```
data_Hf2MgS
_cell_length_a 3.4431
_cell_length_b 3.4431
_cell_length_c 26.7371
_cell_angle_alpha 90.00
_cell_angle_beta 90.00
_cell_angle_gamma 120.00
_symmetry_space_group_name_H-M 'R -3 m'
_symmetry_Int_Tables_number 166
_symmetry_space_group_name_Hall '-R 3 2"'
loop_
_atom_site_label
_atom_site_fract_x
_atom_site_fract_y
_atom_site_fract_z
Hf1 0.0000 0.0000 0.1117
Mg1 0.0000 0.0000 0.0000
S1 0.0000 0.0000 0.5000
```

Values from the calculation:
* energy above the lowest structure with this stoichiometry: 329 meV/atom
* formation energy from raw total energies: -0.89 eV per formula unit
* electronic total energy: -6.631 eV per atom